Entry 1:
Entry from the Alexandria database: crystalline SrZn2Rh at its relaxed geometry (PBE-GGA).

a b c (Å): 3.8424 4.1986 6.0501
angles (deg): 90.00 107.93 90.00
With the nearest neighbours (Å) after each atom.
Element x y z (fractional)
Sr  0.0000  0.0000  0.0000  3 Zn 3.10-3.29, 4 Rh 3.16
Zn  0.2788  0.0000  0.5377  2 Rh 2.46
Zn  0.7412  0.5000  0.4670  2 Rh 2.56
Rh  0.3833  0.5000  0.7604  4 Zn 2.46-2.56

## Properties
SG	No. 6



Entry 2:
Entry from the Alexandria database: crystalline SrZnRh at its relaxed geometry (PBE-GGA).

a b c (Å): 4.8432 4.8432 4.8432
angles (deg): 60.00 60.00 60.00
With the nearest neighbours (Å) after each atom.
Element x y z (fractional)
Sr  0.0000  0.0000  0.0000  4 Rh 2.97, 4 Zn 2.97
Zn  0.2500  0.2500  0.2500  4 Sr 2.97
Rh  0.7500  0.7500  0.7500  4 Sr 2.97

## Properties
SG	No. 216



Entry 3:
Entry from the Alexandria database: crystalline SrZn2Rh at its relaxed geometry (PBE-GGA).

a b c (Å): 15.7130 7.2048 5.9587
angles (deg): 90.00 90.00 90.00
With the nearest neighbours (Å) after each atom.
Element x y z (fractional)
Sr  0.1030  0.2500  0.2233  2 Rh 3.05-3.18, 6 Zn 3.20-3.36
Sr  0.1372  0.7500  0.0154  3 Rh 3.07-3.25, 6 Zn 3.27-3.40
Sr  0.3628  0.2500  0.5154  3 Rh 3.07-3.25, 6 Zn 3.27-3.40
Sr  0.3970  0.7500  0.7233  2 Rh 3.05-3.18, 6 Zn 3.20-3.36
Sr  0.6030  0.2500  0.2767  2 Rh 3.05-3.18, 6 Zn 3.20-3.36
Sr  0.6372  0.7500  0.4846  3 Rh 3.07-3.25, 6 Zn 3.27-3.40
Sr  0.8628  0.2500  0.9846  3 Rh 3.07-3.25, 6 Zn 3.27-3.40
Sr  0.8970  0.7500  0.7767  2 Rh 3.05-3.18, 6 Zn 3.20-3.36
Zn  0.0510  0.0671  0.6939  3 Rh 2.58-2.63, 2 Zn 2.64-2.81
Zn  0.0510  0.4329  0.6939  3 Rh 2.58-2.63, 2 Zn 2.64-2.81
Zn  0.2092  0.5557  0.5319  3 Rh 2.60-2.63, 2 Zn 2.80-2.81
Zn  0.2092  0.9443  0.5319  3 Rh 2.60-2.63, 2 Zn 2.80-2.81
Zn  0.2908  0.0557  0.0319  3 Rh 2.60-2.63, 2 Zn 2.80-2.81
Zn  0.2908  0.4443  0.0319  3 Rh 2.60-2.63, 2 Zn 2.80-2.81
Zn  0.4490  0.5671  0.1939  3 Rh 2.58-2.63, 2 Zn 2.64-2.81
Zn  0.4490  0.9329  0.1939  3 Rh 2.58-2.63, 2 Zn 2.64-2.81
Zn  0.5510  0.0671  0.8061  3 Rh 2.58-2.63, 2 Zn 2.64-2.81
Zn  0.5510  0.4329  0.8061  3 Rh 2.58-2.63, 2 Zn 2.64-2.81
Zn  0.7092  0.5557  0.9681  3 Rh 2.60-2.63, 2 Zn 2.80-2.81
Zn  0.7092  0.9443  0.9681  3 Rh 2.60-2.63, 2 Zn 2.80-2.81
Zn  0.7908  0.0557  0.4681  3 Rh 2.60-2.63, 2 Zn 2.80-2.81
Zn  0.7908  0.4443  0.4681  3 Rh 2.60-2.63, 2 Zn 2.80-2.81
Zn  0.9490  0.5671  0.3061  3 Rh 2.58-2.63, 2 Zn 2.64-2.81
Zn  0.9490  0.9329  0.3061  3 Rh 2.58-2.63, 2 Zn 2.64-2.81
Rh  0.0703  0.7500  0.4997  6 Zn 2.58-2.60
Rh  0.1929  0.2500  0.7695  6 Zn 2.60-2.63
Rh  0.3071  0.7500  0.2695  6 Zn 2.60-2.63
Rh  0.4297  0.2500  0.9997  6 Zn 2.58-2.60
Rh  0.5703  0.7500  0.0003  6 Zn 2.58-2.60
Rh  0.6929  0.2500  0.7305  6 Zn 2.60-2.63
Rh  0.8071  0.7500  0.2305  6 Zn 2.60-2.63
Rh  0.9297  0.2500  0.5003  6 Zn 2.58-2.60

## Properties
SG	No. 62



Entry 4:
Entry from the Alexandria database: crystalline SrZn4Rh at its relaxed geometry (PBE-GGA).

a b c (Å): 7.4671 7.4671 6.8866
angles (deg): 90.00 90.00 141.42
With the nearest neighbours (Å) after each atom.
Element x y z (fractional)
Sr  0.1032  0.8968  0.7500  13 Zn 3.15-3.45
Sr  0.8968  0.1032  0.2500  13 Zn 3.15-3.45
Zn  0.1202  0.8798  0.2500  2 Rh 2.47, 2 Zn 2.63
Zn  0.2841  0.7159  0.0663  1 Rh 2.51, 4 Zn 2.53-2.80
Zn  0.2841  0.7159  0.4337  1 Rh 2.51, 4 Zn 2.53-2.80
Zn  0.5000  0.5000  0.0000  2 Rh 2.49
Zn  0.5000  0.5000  0.5000  2 Rh 2.49
Zn  0.7159  0.2841  0.5663  1 Rh 2.51, 4 Zn 2.53-2.80
Zn  0.7159  0.2841  0.9337  1 Rh 2.51, 4 Zn 2.53-2.80
Zn  0.8798  0.1202  0.7500  2 Rh 2.47, 2 Zn 2.63
Rh  0.3725  0.6275  0.7500  6 Zn 2.47-2.51
Rh  0.6275  0.3725  0.2500  6 Zn 2.47-2.51

## Properties
excess energy over the best structure of this formula in the dataset	0.0	meV per atom
SG	No. 63



Entry 5:
Entry from the Alexandria database: crystalline Sr4ZnRh3 at its relaxed geometry (PBE-GGA).

a b c (Å): 4.5254 4.5880 10.8885
angles (deg): 90.00 90.00 90.00
With the nearest neighbours (Å) after each atom.
Element x y z (fractional)
Sr  0.0000  0.0000  0.0000  2 Zn 3.20, 5 Rh 3.25-3.41
Sr  0.0000  0.5000  0.4790  6 Rh 3.02-3.36
Sr  0.5000  0.0000  0.7052  3 Rh 3.10-3.42, 4 Zn 3.37
Sr  0.5000  0.5000  0.2025  7 Rh 3.08-3.39
Zn  0.0000  0.5000  0.7956  2 Rh 2.52
Rh  0.0000  0.0000  0.2988  2 Rh 2.48
Rh  0.5000  0.0000  0.3911  2 Rh 2.48
Rh  0.5000  0.5000  0.8971  2 Zn 2.52

## Properties
SG	No. 25



Entry 6:
Entry from the Alexandria database: crystalline SrZn2Rh at its relaxed geometry (PBE-GGA).

a b c (Å): 5.4461 5.4461 5.4461
angles (deg): 140.19 125.87 69.26
With the nearest neighbours (Å) after each atom.
Element x y z (fractional)
Sr  0.0000  0.0000  0.0000  8 Zn 3.09-3.22, 4 Rh 3.10
Zn  0.2940  0.7940  0.5000  2 Rh 2.62
Zn  0.7060  0.2060  0.5000  2 Rh 2.62
Rh  0.5000  0.5000  0.0000  4 Zn 2.62

## Properties
SG	No. 71



Number 1: energy relative to the elements -55 kJ/mol of formula units. Number 2: energy relative to the elements 173 kJ/mol of formula units. Number 3: energy relative to the elements -153 kJ/mol of formula units. Number 4: energy relative to the elements -140 kJ/mol of formula units. Number 5: energy relative to the elements -214 kJ/mol of formula units. Number 6: energy relative to the elements -58 kJ/mol of formula units.